Entry 1:
DFT (PBE+U) results for a relaxed structure of CrHO2.

```
16
Lattice="4.8251 0.0000 0.0000 0.0000 6.1199 0.0000 -1.9421 0.0000 4.9344" Properties=species:S:1:pos:R:3 pbc="T T T"
Cr -0.4891 0.7658 1.2633
Cr -1.4601 2.2942 3.7305
Cr 4.3431 3.8257 1.2039
Cr 3.3721 5.3541 3.6712
H 0.8185 3.8221 3.6377
H 1.7895 5.3577 1.1705
H 1.0935 0.7621 3.7640
H 2.0645 2.2978 1.2968
O -0.2179 0.7720 3.2479
O 0.7531 2.2879 0.7807
O -0.1838 3.8158 3.2436
O 0.7873 5.3640 0.7763
O 2.0957 0.7558 4.1581
O 3.0668 2.3041 1.6909
O 2.1299 3.8320 4.1538
O 3.1009 5.3478 1.6865
```

Its calculated volume is 145.7 Å³ per cell. The total energy is -6.853 eV per atom.

Entry 2:
DFT (PBE+U) results for a relaxed structure of Cr3HO6.

```
20
Lattice="3.9170 -4.9634 0.0000 3.9170 4.9634 0.0000 0.0000 0.0000 4.9007" Properties=species:S:1:pos:R:3 pbc="T T T"
Cr 3.9170 3.9440 2.4504
Cr 2.3807 1.3048 2.6615
Cr 2.3807 -1.3048 0.2111
Cr 5.4533 1.3048 2.6615
Cr 5.4533 -1.3048 0.2111
Cr 3.9170 -3.9440 0.0000
H 3.9170 1.0419 0.8041
H 3.9170 -1.0419 3.2545
O 2.6302 2.7911 1.4922
O 1.2514 0.2630 1.3711
O 1.2514 -0.2630 3.8215
O 3.9170 2.2534 3.5286
O 5.2038 2.7911 1.4922
O 3.9170 0.4579 1.5980
O 3.9170 -0.4579 4.0484
O 2.6302 -2.7911 3.9425
O 3.9170 -2.2534 1.0782
O 6.5826 0.2630 1.3711
O 6.5826 -0.2630 3.8215
O 5.2038 -2.7911 3.9425
```

Its calculated volume is 190.6 Å³ per cell. The total energy is -7.000 eV per atom.

Entry 3:
DFT (PBE+U) results for a relaxed structure of CrHO3.

```
10
Lattice="1.4004 -8.9934 0.0000 1.4004 8.9934 0.0000 0.0000 0.0000 4.7732" Properties=species:S:1:pos:R:3 pbc="T T T"
Cr 1.4004 6.6019 3.5799
Cr 1.4004 -6.6019 1.1933
H 1.4004 2.8418 3.5799
H 1.4004 -2.8418 1.1933
O 1.4004 8.1813 3.5799
O 1.4004 2.8863 0.0083
O 1.4004 2.8863 2.3783
O 1.4004 -2.8863 2.3949
O 1.4004 -2.8863 4.7648
O 1.4004 -8.1813 1.1933
```

Its calculated volume is 120.2 Å³ per cell. The total energy is -6.287 eV per atom.

Entry 4:
DFT (PBE+U) results for a relaxed structure of CrHO2.

```
8
Lattice="4.8572 0.0000 0.0000 0.0000 3.0602 0.0000 -1.9252 0.0000 4.9522" Properties=species:S:1:pos:R:3 pbc="T T T"
Cr -0.4545 0.7651 1.2018
Cr 3.3865 2.2952 3.7504
H 0.7896 0.7651 3.6410
H 2.1424 2.2952 1.3112
O 0.7689 2.2952 0.7734
O -0.1864 0.7651 3.2496
O 3.1183 2.2952 1.7026
O 2.1631 0.7651 4.1788
```

Its calculated volume is 73.6 Å³ per cell. The total energy is -6.857 eV per atom.

Entry 5:
DFT (PBE+U) results for a relaxed structure of CrH3O.

```
5
Lattice="3.3135 0.0000 0.0000 0.0000 3.3135 0.0000 0.0000 0.0000 3.3135" Properties=species:S:1:pos:R:3 pbc="T T T"
Cr 0.0000 0.0000 0.0000
H 0.0000 1.6568 1.6568
H 1.6568 0.0000 1.6568
H 1.6568 1.6568 0.0000
O 1.6568 1.6568 1.6568
```

Its calculated volume is 36.4 Å³ per cell. The calculation puts the distance to the lowest polymorph of the same formula at 0.000 kcal/mol of atoms. The total energy is -3.782 eV per atom.

Entry 6:
DFT (PBE+U) results for a relaxed structure of CrHO2.

```
4
Lattice="1.5292 0.8829 4.4931 -1.5292 0.8829 4.4931 0.0000 -1.7657 4.4931" Properties=species:S:1:pos:R:3 pbc="T T T"
Cr 0.0000 0.0000 0.0000
H 0.0000 0.0000 6.6061
O 0.0000 0.0000 5.5322
O 0.0000 0.0000 8.0188
```

Its calculated volume is 36.4 Å³ per cell. The total energy is -6.853 eV per atom.

Entry 7:
DFT (PBE+U) results for a relaxed structure of CrHO3.

```
5
Lattice="3.6401 0.0000 0.0000 0.0000 3.6401 0.0000 0.0000 0.0000 3.6401" Properties=species:S:1:pos:R:3 pbc="T T T"
Cr 0.0000 0.0000 0.0000
H 1.8201 1.8201 1.8201
O 0.0000 0.0000 1.8201
O 0.0000 1.8201 0.0000
O 1.8201 0.0000 0.0000
```

Its calculated volume is 48.2 Å³ per cell. The total energy is -5.296 eV per atom.

Entry 8:
DFT (PBE+U) results for a relaxed structure of CrHO2.

```
4
Lattice="0.0000 2.4656 2.4656 2.4656 0.0000 2.4656 2.4656 2.4656 0.0000" Properties=species:S:1:pos:R:3 pbc="T T T"
Cr 0.0000 0.0000 0.0000
H 2.4656 2.4656 2.4656
O 1.2328 1.2328 1.2328
O 3.6985 3.6985 3.6985
```

Its calculated volume is 30.0 Å³ per cell. The total energy is -5.577 eV per atom.

Entry 9:
DFT (PBE+U) results for a relaxed structure of CrHO2.

```
4
Lattice="1.4195 0.8196 5.2898 -1.4195 0.8196 5.2898 0.0000 -1.6391 5.2898" Properties=species:S:1:pos:R:3 pbc="T T T"
Cr 0.0000 0.0000 0.0000
H 0.0000 0.0000 7.9347
O 0.0000 0.0000 1.6971
O 0.0000 0.0000 14.1723
```

Its calculated volume is 36.9 Å³ per cell. The total energy is -4.914 eV per atom.

Entry 10:
DFT (PBE+U) results for a relaxed structure of Cr3HO8.

```
24
Lattice="6.7570 0.0000 0.0000 0.0000 3.7958 0.0000 -2.9803 0.0000 13.4888" Properties=species:S:1:pos:R:3 pbc="T T T"
Cr 0.6811 0.9489 1.8804
Cr -1.4750 0.9489 12.2375
Cr -0.3225 2.8468 7.1020
Cr 4.0992 0.9489 6.3868
Cr 5.2518 2.8468 1.2513
Cr 3.0957 2.8468 11.6084
H 2.0958 0.9489 3.9993
H 1.6810 2.8468 9.4895
O 0.2409 2.8468 1.8427
O -0.8334 0.9489 6.9812
O -1.8991 2.8468 12.2021
O 1.8600 0.9489 0.5267
O 1.1961 0.9489 3.5692
O 0.2057 2.8468 8.6313
O -0.2787 0.9489 11.1887
O 0.8946 2.8468 6.0804
O 2.8822 0.9489 7.4084
O 4.0554 2.8468 2.3001
O 3.5711 0.9489 4.8575
O 2.5807 2.8468 9.9196
O 1.9168 2.8468 12.9621
O 5.6759 0.9489 1.2868
O 4.6102 2.8468 6.5076
O 3.5359 0.9489 11.6461
```

Its calculated volume is 346.0 Å³ per cell. The total energy is -6.565 eV per atom.

Entry 11:
DFT (PBE+U) results for a relaxed structure of Cr2HO3.

```
12
Lattice="5.7307 -1.8380 0.0000 5.7307 1.8380 0.0000 -3.2371 0.0000 6.6232" Properties=species:S:1:pos:R:3 pbc="T T T"
Cr -0.2603 0.0000 1.5566
Cr 0.4881 0.0000 5.6724
Cr 7.7362 0.0000 0.9508
Cr 8.4846 0.0000 5.0666
H 2.1474 0.0000 3.1117
H 6.0769 0.0000 3.5115
O -1.4081 0.0000 6.3035
O 1.9879 0.0000 2.1333
O 2.3789 0.0000 5.0223
O 5.8454 0.0000 1.6009
O 6.2364 0.0000 4.4899
O 9.6324 0.0000 0.3197
```

Its calculated volume is 139.5 Å³ per cell. The total energy is -6.928 eV per atom.

Entry 12:
DFT (PBE+U) results for a relaxed structure of CrHO2.

```
16
Lattice="9.9626 0.0000 0.0000 0.0000 3.0472 0.0000 0.0000 0.0000 4.5055" Properties=species:S:1:pos:R:3 pbc="T T T"
Cr 1.3810 0.7618 0.2370
Cr 3.6004 2.2854 2.4897
Cr 6.3623 0.7618 2.0158
Cr 8.5817 2.2854 4.2685
H 0.9868 2.2854 2.6465
H 3.9945 0.7618 0.3937
H 5.9681 2.2854 4.1118
H 8.9758 0.7618 1.8590
O 0.5899 2.2854 3.6055
O 1.9060 2.2854 1.4284
O 3.0753 0.7618 3.6811
O 4.3914 0.7618 1.3528
O 5.5712 2.2854 3.1527
O 6.8873 2.2854 0.8244
O 8.0566 0.7618 3.0771
O 9.3727 0.7618 0.9000
```

Its calculated volume is 136.8 Å³ per cell. The total energy is -6.845 eV per atom.